No. 1
A relaxed structure of Ho8Er3Tm2. Source: the Alexandria database, functional PBE-GGA.

The value obtained for the density of states at the Fermi level is 20.79 states/eV/f.u. Its space group is C2/m (12). The calculation puts the total energy at -0.159 Ha/atom.

Cell and atoms, written as POSCAR:
```
Ho8Er3Tm2
1.0
-0.057 -1.517 5.334
-5.536 -4.906 -1.455
9.531 -4.604 -1.212
Ho Er Tm
8 3 2
Cartesian
2.194 -7.630 -2.150 Ho
4.096 -7.321 0.838 Ho
-0.493 -4.828 -1.375 Ho
-0.158 -3.706 1.829 Ho
-2.499 -5.781 1.213 Ho
4.432 -6.199 4.041 Ho
1.744 -3.397 4.817 Ho
6.438 -5.246 1.453 Ho
-3.963 -3.512 -1.042 Er
-0.029 -0.759 2.667 Er
-1.573 -1.394 -0.413 Er
0.702 -6.864 0.941 Tm
3.236 -4.163 1.726 Tm
```

No. 2
A relaxed structure of Pm3B7Ru. Source: the Alexandria database, functional PBE-GGA.

The value obtained for the density of states at the Fermi level is 2.39 states/eV/f.u. Its space group is Cmcm (63). The calculation puts the total energy at -0.253 Ha/atom.

Cell and atoms, written as POSCAR:
```
Pm3B7Ru
1.0
-3.077 1.857 0.030
-2.308 -7.249 -3.299
-1.936 -3.351 8.716
B Pm Ru
14 6 2
Cartesian
-3.507 -5.822 0.608 B
-2.168 -3.569 -1.510 B
-5.018 -8.374 3.492 B
-4.191 -3.574 6.537 B
-3.130 -5.169 -1.090 B
-3.009 -5.023 2.274 B
-3.858 -6.357 -2.260 B
-4.440 -7.364 0.359 B
-5.153 -5.174 6.957 B
-2.881 -1.379 5.088 B
-2.303 -0.370 1.955 B
-3.814 -2.921 4.840 B
-4.312 -3.720 3.173 B
-3.463 -2.386 7.707 B
-3.334 -5.605 4.931 Pm
-6.398 -7.216 5.598 Pm
-3.987 -3.138 0.517 Pm
-0.923 -1.527 -0.151 Pm
-1.653 -2.791 3.136 Pm
-5.668 -5.952 2.312 Pm
-5.434 -5.515 -0.719 Ru
-1.887 -3.228 6.166 Ru
```

No. 3
A relaxed structure of Pr4NdY2Mg. Source: the Alexandria database, functional PBE-GGA.

The value obtained for the density of states at the Fermi level is 10.13 states/eV/f.u. Its space group is P4/mmm (123). The calculation puts the total energy at -0.176 Ha/atom.

Cell and atoms, written as POSCAR:
```
Pr4NdY2Mg
1.0
5.130 0.000 0.000
0.000 4.881 1.576
0.000 1.747 11.264
Pr Mg Y Nd
4 1 2 1
Cartesian
2.565 4.115 3.938 Pr
5.130 1.676 3.150 Pr
2.565 2.513 8.902 Pr
0.000 4.953 9.691 Pr
2.565 2.441 0.788 Mg
2.565 0.873 5.632 Y
0.000 1.747 11.264 Y
0.000 3.314 6.420 Nd
```

No. 4
A relaxed structure of Cs8Au3F. Source: the Alexandria database, functional PBE-GGA.

The value obtained for the density of states at the Fermi level is 8.48 states/eV/f.u. Its space group is P6_3mc (186). The calculation puts the total energy at -0.078 Ha/atom.

Cell and atoms, written as POSCAR:
```
Cs8Au3F
1.0
10.572 0.000 0.000
-5.286 9.156 0.000
0.000 0.000 15.319
Cs Au F
16 6 2
Cartesian
0.000 0.000 5.044 Cs
2.215 4.825 5.441 Cs
5.286 0.495 13.100 Cs
-2.215 4.825 5.441 Cs
5.286 5.816 1.479 Cs
2.892 1.670 1.479 Cs
0.000 0.000 12.704 Cs
0.000 6.104 1.257 Cs
0.000 8.662 5.441 Cs
7.501 4.331 13.100 Cs
-2.394 7.486 9.139 Cs
5.286 3.052 8.916 Cs
0.000 3.340 9.139 Cs
7.680 1.670 1.479 Cs
3.071 4.331 13.100 Cs
2.394 7.486 9.139 Cs
7.880 1.555 10.839 Au
0.000 3.109 3.179 Au
-2.594 7.602 3.179 Au
2.594 7.602 3.179 Au
5.286 6.047 10.839 Au
2.693 1.555 10.839 Au
5.286 3.052 14.828 F
0.000 6.104 7.168 F
```

No. 5
A relaxed structure of TbAgPb2. Source: the Alexandria database, functional PBE-GGA.

The value obtained for the density of states at the Fermi level is 2.88 states/eV/f.u. Its space group is R-3m (166). The calculation puts the total energy at -0.132 Ha/atom.

Cell and atoms, written as POSCAR:
```
TbAgPb2
1.0
-1.970 -0.782 -2.765
1.229 -2.130 -2.468
-4.384 -9.600 3.643
Ag Tb Pb
1 1 2
Cartesian
-2.562 -6.256 -0.795 Ag
0.000 0.000 0.000 Tb
-1.934 -5.401 -3.679 Pb
-3.191 -7.111 2.089 Pb
```

No. 6
A relaxed structure of CoRu2I. Source: the Alexandria database, functional PBE-GGA.

The energy above the most stable polymorph in this dataset is 0.000 eV per atom. The value obtained for the density of states at the Fermi level is 5.98 states/eV/f.u. Its space group is Fm-3m (225). The calculation puts the total energy at -0.218 Ha/atom.

Cell and atoms, written as POSCAR:
```
CoRu2I
1.0
3.285 -1.793 2.379
0.476 1.065 4.278
-0.916 -2.990 3.144
Co Ru I
1 2 1
Cartesian
0.000 0.000 0.000 Co
2.134 -2.788 7.352 Ru
0.711 -0.929 2.451 Ru
1.422 -1.859 4.901 I
```

No. 7
A relaxed structure of VHgTe2. Source: the Alexandria database, functional PBE-GGA.

The value obtained for the density of states at the Fermi level is 2.08 states/eV/f.u. Its space group is R3m (160). The calculation puts the total energy at -0.144 Ha/atom.

Cell and atoms, written as POSCAR:
```
VHgTe2
1.0
2.653 0.000 7.317
-1.327 2.298 7.317
-1.327 -2.298 7.317
Te Hg V
2 1 1
Cartesian
0.000 0.000 2.613 Te
0.000 0.000 13.910 Te
0.000 0.000 11.001 Hg
0.000 0.000 21.887 V
```

No. 8
A relaxed structure of Tm2AgBiO6. Source: the Alexandria database, functional PBE-GGA.

The value obtained for the density of states at the Fermi level is 0.55 states/eV/f.u. Its space group is R3 (146). The calculation puts the total energy at -0.244 Ha/atom.

Cell and atoms, written as POSCAR:
```
Tm2AgBiO6
1.0
-2.388 4.580 2.536
-0.472 0.195 5.731
3.682 3.839 3.061
O Tm Bi Ag
6 2 1 1
Cartesian
-1.676 5.251 6.474 O
0.983 6.193 5.040 O
1.543 4.727 7.343 O
-0.710 3.647 3.612 O
2.206 3.698 4.840 O
-0.195 2.174 6.655 O
3.480 3.741 3.048 Tm
0.088 4.150 5.643 Tm
-0.762 1.684 2.768 Bi
0.180 6.249 8.467 Ag
```

No. 9
A relaxed structure of Ac2PaTl. Source: the Alexandria database, functional PBE-GGA.

The energy above the most stable polymorph in this dataset is 0.045 eV per atom. The value obtained for the density of states at the Fermi level is 7.66 states/eV/f.u. Its space group is P4/mmm (123). The calculation puts the total energy at -0.178 Ha/atom.

Cell and atoms, written as POSCAR:
```
Ac2PaTl
1.0
3.656 0.000 0.000
0.000 6.078 0.000
0.000 0.000 6.078
Pa Tl Ac
1 1 2
Cartesian
1.828 3.039 3.039 Pa
1.828 0.000 0.000 Tl
0.000 3.039 0.000 Ac
0.000 0.000 3.039 Ac
```

No. 10
A relaxed structure of K4ErBi3O12. Source: the Alexandria database, functional PBE-GGA.

The value obtained for the density of states at the Fermi level is 13.19 states/eV/f.u. Its space group is Im-3m (229). The calculation puts the total energy at -0.196 Ha/atom.

Cell and atoms, written as POSCAR:
```
K4ErBi3O12
1.0
-1.553 6.304 -3.651
-3.321 0.109 6.666
7.369 -0.593 0.907
Bi O K Er
3 12 4 1
Cartesian
-2.437 3.206 1.508 Bi
2.024 -0.242 3.787 Bi
2.908 2.855 -1.372 Bi
3.920 2.734 0.521 O
-3.617 4.759 2.238 O
3.478 1.186 3.101 O
1.044 -0.125 1.953 O
-0.983 4.634 0.822 O
0.805 1.361 4.540 O
1.690 4.459 -0.618 O
1.500 1.473 -0.708 O
4.316 4.238 -2.036 O
3.004 -0.360 5.620 O
-1.257 1.654 0.778 O
-1.425 3.085 3.401 O
3.685 -0.297 0.453 K
-1.661 0.054 3.333 K
1.248 2.910 1.961 K
-0.776 3.152 -1.825 K
0.000 0.000 0.000 Er
```

No. 11
A relaxed structure of POsW2. Source: the Alexandria database, functional PBE-GGA.

The value obtained for the density of states at the Fermi level is 4.06 states/eV/f.u. Its space group is I-4m2 (119). The calculation puts the total energy at -0.376 Ha/atom.

Cell and atoms, written as POSCAR:
```
POsW2
1.0
-1.880 1.880 4.182
1.880 -1.880 4.182
1.880 1.880 -4.182
Os W P
1 2 1
Cartesian
0.000 0.000 4.182 Os
1.880 0.000 2.091 W
0.000 0.000 0.000 W
0.000 1.880 2.091 P
```

No. 12
A relaxed structure of NdHo2Tm7. Source: the Alexandria database, functional PBE-GGA.

The energy above the most stable polymorph in this dataset is 0.669 eV per atom. The value obtained for the density of states at the Fermi level is 15.15 states/eV/f.u. Its space group is Cmmm (65). The calculation puts the total energy at -0.140 Ha/atom.

Cell and atoms, written as POSCAR:
```
NdHo2Tm7
1.0
5.511 0.000 0.000
0.000 9.127 -0.534
0.000 -4.594 7.905
Tm Ho Nd
7 2 1
Cartesian
2.755 -0.775 2.268 Tm
2.755 2.267 3.685 Tm
0.000 -1.686 6.116 Tm
0.000 6.219 1.255 Tm
2.755 2.374 0.332 Tm
2.755 5.308 5.103 Tm
2.755 2.159 7.039 Tm
2.755 -0.513 5.395 Ho
2.755 5.046 1.976 Ho
0.000 0.000 0.000 Nd
```

No. 13
A relaxed structure of TbHo6Tm2Sc. Source: the Alexandria database, functional PBE-GGA.

The value obtained for the density of states at the Fermi level is 13.66 states/eV/f.u. Its space group is C2/c (15). The calculation puts the total energy at -0.169 Ha/atom.

Cell and atoms, written as POSCAR:
```
TbHo6Tm2Sc
1.0
8.887 -1.959 -2.033
0.830 8.367 -1.929
0.830 -2.238 8.289
Ho Tm Sc Tb
12 4 2 2
Cartesian
3.957 6.722 1.072 Ho
9.325 4.915 -1.571 Ho
4.079 2.841 0.664 Ho
6.590 -2.552 3.255 Ho
4.881 -0.773 5.870 Ho
1.223 -0.746 5.899 Ho
8.522 -0.422 1.847 Ho
5.666 4.943 -1.543 Ho
8.401 -0.157 5.741 Ho
6.469 1.329 3.664 Ho
2.147 4.327 -1.413 Ho
2.025 4.591 2.481 Ho
0.847 2.011 0.983 Tm
9.700 2.158 3.345 Tm
5.290 -0.072 1.030 Tm
5.257 4.242 3.297 Tm
7.495 2.514 0.770 Sc
3.052 1.656 3.557 Sc
7.495 -3.454 6.521 Tb
3.052 7.623 -2.193 Tb
```

No. 14
A relaxed structure of TbPr2Mn. Source: the Alexandria database, functional PBE-GGA.

The energy above the most stable polymorph in this dataset is 0.000 eV per atom. The value obtained for the density of states at the Fermi level is 5.41 states/eV/f.u. Its space group is P4/mmm (123). The calculation puts the total energy at -0.208 Ha/atom.

Cell and atoms, written as POSCAR:
```
TbPr2Mn
1.0
-1.693 -0.478 -3.200
-2.514 -2.079 1.641
-5.001 7.276 1.559
Pr Tb Mn
2 1 1
Cartesian
-1.058 1.539 0.330 Pr
-3.943 5.737 1.229 Pr
-4.604 2.360 0.000 Tb
-2.103 -1.279 -0.779 Mn
```

No. 15
A relaxed structure of TiPt3Rh3. Source: the Alexandria database, functional PBE-GGA.

The value obtained for the density of states at the Fermi level is 8.88 states/eV/f.u. Its space group is Cmmm (65). The calculation puts the total energy at -0.261 Ha/atom.

Cell and atoms, written as POSCAR:
```
TiPt3Rh3
1.0
-4.752 -1.136 -2.267
-1.579 -2.364 4.574
-2.833 6.796 2.534
Rh Pt Ti
6 6 2
Cartesian
-3.945 -1.448 -0.528 Rh
-6.059 0.832 2.960 Rh
-3.800 1.346 4.107 Rh
-3.104 2.465 1.882 Rh
-5.364 1.951 0.735 Rh
-2.385 -2.052 2.836 Rh
-6.237 -0.648 0.643 Pt
-4.650 -1.262 4.064 Pt
-2.124 5.096 1.900 Pt
-2.926 3.945 4.199 Pt
-0.709 1.701 0.634 Pt
-4.513 4.559 0.778 Pt
-4.571 -2.527 1.666 Ti
-1.759 -0.973 0.641 Ti
```

No. 16
A relaxed structure of BaPt2Pb. Source: the Alexandria database, functional PBE-GGA.

The value obtained for the density of states at the Fermi level is 4.03 states/eV/f.u. Its space group is I-42d (122). The calculation puts the total energy at -0.175 Ha/atom.

Cell and atoms, written as POSCAR:
```
BaPt2Pb
1.0
5.305 0.000 0.000
0.000 5.305 0.000
2.653 2.653 9.218
Pt Ba Pb
4 2 2
Cartesian
3.979 2.822 6.914 Pt
6.631 2.483 6.914 Pt
5.136 1.326 2.305 Pt
5.474 3.979 2.305 Pt
2.653 2.653 0.000 Ba
2.653 5.305 4.609 Ba
5.305 2.653 4.609 Pb
0.000 0.000 0.000 Pb
```

No. 17
A relaxed structure of Sr2PuGe4Pt3. Source: the Alexandria database, functional PBE-GGA.

The value obtained for the density of states at the Fermi level is 15.57 states/eV/f.u. Its space group is P-4m2 (115). The calculation puts the total energy at -0.224 Ha/atom.

Cell and atoms, written as POSCAR:
```
Sr2PuGe4Pt3
1.0
4.393 0.000 0.000
0.000 4.393 0.000
0.000 0.000 11.440
Pt Pu Ge Sr
3 1 4 2
Cartesian
2.197 0.000 10.129 Pt
0.000 0.000 5.720 Pt
0.000 2.197 1.311 Pt
2.197 2.197 5.720 Pu
0.000 0.000 0.000 Ge
2.197 2.197 0.000 Ge
2.197 0.000 7.620 Ge
0.000 2.197 3.820 Ge
2.197 0.000 2.660 Sr
0.000 2.197 8.779 Sr
```

No. 18
A relaxed structure of LiMnGe2. Source: the Alexandria database, functional PBE-GGA.

The energy above the most stable polymorph in this dataset is 0.000 eV per atom. The value obtained for the density of states at the Fermi level is 1.67 states/eV/f.u. Its space group is P4/mmm (123). The calculation puts the total energy at -0.191 Ha/atom.

Cell and atoms, written as POSCAR:
```
LiMnGe2
1.0
-0.744 2.591 -0.800
-1.310 -1.070 -2.246
-6.590 -0.615 4.137
Mn Ge Li
1 2 1
Cartesian
-1.027 0.760 -1.523 Mn
-5.054 -0.472 3.173 Ge
-1.536 -0.143 0.964 Ge
-4.322 0.453 0.545 Li
```

No. 19
A relaxed structure of NaSnI2. Source: the Alexandria database, functional PBE-GGA.

The energy above the most stable polymorph in this dataset is 0.004 eV per atom. Its space group is P1 (1). The calculation puts the total energy at -0.103 Ha/atom.

Cell and atoms, written as POSCAR:
```
NaSnI2
1.0
5.099 0.000 0.000
0.329 8.170 0.001
2.380 3.541 8.794
Sn I Na
2 4 2
Cartesian
2.577 6.209 0.220 Sn
5.156 6.006 1.788 Sn
4.067 7.041 8.106 I
1.621 6.621 4.592 I
3.975 3.071 6.447 I
4.355 8.867 1.756 I
4.168 8.352 5.044 Na
6.535 5.046 7.338 Na
```

No. 20
A relaxed structure of SnTe2As. Source: the Alexandria database, functional PBE-GGA.

The energy above the most stable polymorph in this dataset is 0.146 eV per atom. The value obtained for the density of states at the Fermi level is 1.76 states/eV/f.u. Its space group is R-3m (166). The calculation puts the total energy at -0.133 Ha/atom.

Cell and atoms, written as POSCAR:
```
SnTe2As
1.0
-4.744 1.715 8.696
-5.868 -1.911 7.936
-2.465 -1.261 9.664
Te Sn As
2 1 1
Cartesian
-1.383 -0.154 2.781 Te
-11.693 -1.303 23.515 Te
0.000 0.000 0.000 Sn
-6.538 -0.729 13.148 As
```

No. 21
A relaxed structure of CrCuMo2. Source: the Alexandria database, functional PBE-GGA.

The energy above the most stable polymorph in this dataset is 0.122 eV per atom. The value obtained for the density of states at the Fermi level is 3.51 states/eV/f.u. Its space group is I4/mmm (139). The calculation puts the total energy at -0.314 Ha/atom.

Cell and atoms, written as POSCAR:
```
CrCuMo2
1.0
4.519 -0.004 0.000
1.052 4.395 0.000
-2.786 -2.196 2.800
Mo Cu Cr
2 1 1
Cartesian
0.000 0.000 0.000 Mo
2.786 2.196 0.000 Mo
2.260 -0.002 1.400 Cu
0.526 2.198 1.400 Cr
```